# AcDy2F (PBE, relaxed)
# D(E_F) in states/eV/atom: 1.076
# E in eV for the cell shown: -18.8
# Formation energy from raw total energies in meV per atom: -900
# Space-group type: R-3m (166)
data_AcDy2F
_chemical_formula_sum 'Ac1 Dy2 F1'
_space_group_name_H-M_alt 'P 1'
_space_group_IT_number 1
_cell_length_a 9.9462
_cell_length_b 9.9462
_cell_length_c 9.9462
_cell_angle_alpha 21.55
_cell_angle_beta 21.55
_cell_angle_gamma 21.55
loop_
_space_group_symop_operation_xyz
'x,y,z'
loop_
_atom_site_label
_atom_site_type_symbol
_atom_site_fract_x
_atom_site_fract_y
_atom_site_fract_z
Ac1 Ac 0.0000 0.0000 0.0000
Dy1 Dy 0.1214 0.1214 0.1214
Dy2 Dy 0.8786 0.8786 0.8786
F1 F 0.5000 0.5000 0.5000


# Nd2SmTc2C4 (PBE, relaxed)
# D(E_F) in states/eV/atom: 0.691
# Energy of formation in eV per formula unit: 0.137
# E in eV for the cell shown: -71.7
# Space-group type: C2/m (12)
data_Nd2SmTc2C4
_chemical_formula_sum 'Nd2 Sm1 Tc2 C4'
_space_group_name_H-M_alt 'P 1'
_space_group_IT_number 1
_cell_length_a 7.3092
_cell_length_b 7.3092
_cell_length_c 6.0548
_cell_angle_alpha 106.13
_cell_angle_beta 106.13
_cell_angle_gamma 28.29
loop_
_space_group_symop_operation_xyz
'x,y,z'
loop_
_atom_site_label
_atom_site_type_symbol
_atom_site_fract_x
_atom_site_fract_y
_atom_site_fract_z
Nd1 Nd 0.1376 0.1376 0.0361
Nd2 Nd 0.8624 0.8624 0.9639
Sm1 Sm 0.0000 0.0000 0.5000
Tc1 Tc 0.3184 0.3184 0.4911
Tc2 Tc 0.6816 0.6816 0.5089
C1 C 0.2206 0.2206 0.6970
C2 C 0.4405 0.4405 0.7311
C3 C 0.5595 0.5595 0.2689
C4 C 0.7794 0.7794 0.3030


# Tc2Sn8Hg (PBE, relaxed)
# D(E_F) in states/eV/atom: 0.379
# Energy of formation in eV per formula unit: 0.726
# E in eV for the cell shown: -52.3
# Space-group type: C2/m (12)
data_Tc2Sn8Hg
_chemical_formula_sum 'Tc2 Sn8 Hg1'
_space_group_name_H-M_alt 'P 1'
_space_group_IT_number 1
_cell_length_a 7.4304
_cell_length_b 7.4304
_cell_length_c 5.2447
_cell_angle_alpha 98.24
_cell_angle_beta 98.24
_cell_angle_gamma 107.39
loop_
_space_group_symop_operation_xyz
'x,y,z'
loop_
_atom_site_label
_atom_site_type_symbol
_atom_site_fract_x
_atom_site_fract_y
_atom_site_fract_z
Tc1 Tc 0.1976 0.8024 0.0000
Tc2 Tc 0.8024 0.1976 0.0000
Sn1 Sn 0.0944 0.0944 0.2968
Sn2 Sn 0.1639 0.4138 0.9250
Sn3 Sn 0.2581 0.7419 0.5000
Sn4 Sn 0.4138 0.1639 0.9250
Sn5 Sn 0.5862 0.8361 0.0750
Sn6 Sn 0.7419 0.2581 0.5000
Sn7 Sn 0.8361 0.5862 0.0750
Sn8 Sn 0.9056 0.9056 0.7032
Hg1 Hg 0.5000 0.5000 0.5000


# LiCa8Pd2 (PBE, relaxed)
# D(E_F) in states/eV/atom: 0.705
# Energy of formation in eV per formula unit: -3.045
# E in eV for the cell shown: -31.4
# Space-group type: Cm (8)
data_LiCa8Pd2
_chemical_formula_sum 'Li1 Ca8 Pd2'
_space_group_name_H-M_alt 'P 1'
_space_group_IT_number 1
_cell_length_a 8.2270
_cell_length_b 8.2270
_cell_length_c 5.9320
_cell_angle_alpha 97.36
_cell_angle_beta 97.36
_cell_angle_gamma 111.86
loop_
_space_group_symop_operation_xyz
'x,y,z'
loop_
_atom_site_label
_atom_site_type_symbol
_atom_site_fract_x
_atom_site_fract_y
_atom_site_fract_z
Li1 Li 0.0000 0.0000 0.0000
Ca1 Ca 0.0651 0.3325 0.5881
Ca2 Ca 0.2478 0.7517 0.0013
Ca3 Ca 0.3325 0.0651 0.5881
Ca4 Ca 0.3861 0.3861 0.2082
Ca5 Ca 0.6133 0.6133 0.7944
Ca6 Ca 0.6671 0.9343 0.4145
Ca7 Ca 0.7517 0.2478 0.0013
Ca8 Ca 0.9343 0.6671 0.4145
Pd1 Pd 0.3137 0.6857 0.5013
Pd2 Pd 0.6857 0.3137 0.5013


# TcNiCl2 (PBE, relaxed)
# D(E_F) in states/eV/atom: 0.798
# E in eV for the cell shown: -18.0
# Formation energy from raw total energies in meV per atom: 450
# E above lowest polymorph in eV per formula unit: 2.02
# Space-group type: Imm2 (44)
data_TcNiCl2
_chemical_formula_sum 'Tc1 Ni1 Cl2'
_space_group_name_H-M_alt 'P 1'
_space_group_IT_number 1
_cell_length_a 6.1762
_cell_length_b 6.1762
_cell_length_c 6.1762
_cell_angle_alpha 152.58
_cell_angle_beta 139.92
_cell_angle_gamma 49.24
loop_
_space_group_symop_operation_xyz
'x,y,z'
loop_
_atom_site_label
_atom_site_type_symbol
_atom_site_fract_x
_atom_site_fract_y
_atom_site_fract_z
Tc1 Tc 0.0000 0.0000 0.0000
Ni1 Ni 0.8227 0.3227 0.5000
Cl1 Cl 0.2043 0.7043 0.5000
Cl2 Cl 0.4886 0.4886 0.0000


# Pr8Nd5Sm (PBE, relaxed)
# D(E_F) in states/eV/atom: 1.478
# Energy of formation in eV per formula unit: 3.113
# E in eV for the cell shown: -63.7
# Space-group type: I-4 (82)
data_Pr8Nd5Sm
_chemical_formula_sum 'Pr8 Nd5 Sm1'
_space_group_name_H-M_alt 'P 1'
_space_group_IT_number 1
_cell_length_a 8.7196
_cell_length_b 8.7196
_cell_length_c 8.7196
_cell_angle_alpha 111.09
_cell_angle_beta 111.09
_cell_angle_gamma 106.28
loop_
_space_group_symop_operation_xyz
'x,y,z'
loop_
_atom_site_label
_atom_site_type_symbol
_atom_site_fract_x
_atom_site_fract_y
_atom_site_fract_z
Pr1 Pr 0.1793 0.4138 0.6029
Pr2 Pr 0.3242 0.2205 0.2446
Pr3 Pr 0.4235 0.8207 0.2345
Pr4 Pr 0.5862 0.1891 0.7655
Pr5 Pr 0.7795 0.0241 0.1037
Pr6 Pr 0.8109 0.5765 0.3971
Pr7 Pr 0.9204 0.6758 0.8963
Pr8 Pr 0.9759 0.0796 0.7554
Nd1 Nd 0.0693 0.4683 0.1854
Nd2 Nd 0.1160 0.9307 0.3989
Nd3 Nd 0.2829 0.8840 0.8146
Nd4 Nd 0.5317 0.7171 0.6011
Nd5 Nd 0.7500 0.2500 0.5000
Sm1 Sm 0.5000 0.5000 0.0000


# Ba5LaS6 (PBE, relaxed)
# D(E_F) in states/eV/atom: 0.220
# E in eV for the cell shown: -64.2
# Formation energy from raw total energies in meV per atom: -2074
# Space-group type: C2/m (12)
data_Ba5LaS6
_chemical_formula_sum 'Ba5 La1 S6'
_space_group_name_H-M_alt 'P 1'
_space_group_IT_number 1
_cell_length_a 7.7650
_cell_length_b 7.7650
_cell_length_c 7.7571
_cell_angle_alpha 99.63
_cell_angle_beta 99.63
_cell_angle_gamma 119.95
loop_
_space_group_symop_operation_xyz
'x,y,z'
loop_
_atom_site_label
_atom_site_type_symbol
_atom_site_fract_x
_atom_site_fract_y
_atom_site_fract_z
Ba1 Ba 0.0000 0.0000 0.0000
Ba2 Ba 0.1662 0.8338 0.5000
Ba3 Ba 0.3310 0.6690 0.0000
Ba4 Ba 0.6690 0.3310 0.0000
Ba5 Ba 0.8338 0.1662 0.5000
La1 La 0.5000 0.5000 0.5000
S1 S 0.1076 0.4209 0.2627
S2 S 0.2672 0.2672 0.7387
S3 S 0.4209 0.1076 0.2627
S4 S 0.5791 0.8924 0.7373
S5 S 0.7328 0.7328 0.2613
S6 S 0.8924 0.5791 0.7373


# Sr3ZrNp3N8 (PBE, relaxed)
# D(E_F) in states/eV/atom: 1.098
# E in eV for the cell shown: -135.0
# Formation energy from raw total energies in meV per atom: -1068
# Space-group type: R-3m (166)
data_Sr3ZrNp3N8
_chemical_formula_sum 'Sr3 Zr1 Np3 N8'
_space_group_name_H-M_alt 'P 1'
_space_group_IT_number 1
_cell_length_a 7.2091
_cell_length_b 7.2091
_cell_length_c 7.2091
_cell_angle_alpha 57.30
_cell_angle_beta 57.30
_cell_angle_gamma 57.30
loop_
_space_group_symop_operation_xyz
'x,y,z'
loop_
_atom_site_label
_atom_site_type_symbol
_atom_site_fract_x
_atom_site_fract_y
_atom_site_fract_z
Sr1 Sr 0.0000 0.5000 0.5000
Sr2 Sr 0.5000 0.0000 0.5000
Sr3 Sr 0.5000 0.5000 0.0000
Zr1 Zr 0.5000 0.5000 0.5000
Np1 Np 0.0000 0.0000 0.5000
Np2 Np 0.0000 0.5000 0.0000
Np3 Np 0.5000 0.0000 0.0000
N1 N 0.2292 0.7260 0.7260
N2 N 0.2347 0.2347 0.2347
N3 N 0.2740 0.2740 0.7708
N4 N 0.2740 0.7708 0.2740
N5 N 0.7260 0.2292 0.7260
N6 N 0.7260 0.7260 0.2292
N7 N 0.7653 0.7653 0.7653
N8 N 0.7708 0.2740 0.2740


# Bi12AsO20 (PBE, relaxed)
# D(E_F) in states/eV/atom: 0.133
# E in eV for the cell shown: -190.6
# Formation energy from raw total energies in meV per atom: -1219
# Space-group type: I23 (197)
data_Bi12AsO20
_chemical_formula_sum 'Bi12 As1 O20'
_space_group_name_H-M_alt 'P 1'
_space_group_IT_number 1
_cell_length_a 8.9964
_cell_length_b 8.9964
_cell_length_c 8.9964
_cell_angle_alpha 109.47
_cell_angle_beta 109.47
_cell_angle_gamma 109.47
loop_
_space_group_symop_operation_xyz
'x,y,z'
loop_
_atom_site_label
_atom_site_type_symbol
_atom_site_fract_x
_atom_site_fract_y
_atom_site_fract_z
Bi1 Bi 0.1482 0.8473 0.3488
Bi2 Bi 0.1527 0.3009 0.5014
Bi3 Bi 0.2006 0.6991 0.8518
Bi4 Bi 0.3009 0.5014 0.1527
Bi5 Bi 0.3488 0.1482 0.8473
Bi6 Bi 0.4986 0.7994 0.6512
Bi7 Bi 0.5014 0.1527 0.3009
Bi8 Bi 0.6512 0.4986 0.7994
Bi9 Bi 0.6991 0.8518 0.2006
Bi10 Bi 0.7994 0.6512 0.4986
Bi11 Bi 0.8473 0.3488 0.1482
Bi12 Bi 0.8518 0.2006 0.6991
As1 As 0.0000 0.0000 0.0000
O1 O 0.0000 0.0000 0.3991
O2 O 0.0000 0.0000 0.8070
O3 O 0.0000 0.3991 0.0000
O4 O 0.0000 0.8070 0.0000
O5 O 0.1155 0.3629 0.7419
O6 O 0.1930 0.1930 0.1930
O7 O 0.2474 0.8845 0.6264
O8 O 0.2581 0.6210 0.3736
O9 O 0.3629 0.7419 0.1155
O10 O 0.3736 0.2581 0.6210
O11 O 0.3790 0.6371 0.7526
O12 O 0.3991 0.0000 0.0000
O13 O 0.6009 0.6009 0.6009
O14 O 0.6210 0.3736 0.2581
O15 O 0.6264 0.2474 0.8845
O16 O 0.6371 0.7526 0.3790
O17 O 0.7419 0.1155 0.3629
O18 O 0.7526 0.3790 0.6371
O19 O 0.8070 0.0000 0.0000
O20 O 0.8845 0.6264 0.2474


# ScTlSb2 (PBE, relaxed)
# D(E_F) in states/eV/atom: 0.631
# E in eV for the cell shown: -17.8
# Formation energy from raw total energies in meV per atom: -202
# E above lowest polymorph in eV per formula unit: 0.64
# Space-group type: P4/mmm (123)
data_ScTlSb2
_chemical_formula_sum 'Sc1 Tl1 Sb2'
_space_group_name_H-M_alt 'P 1'
_space_group_IT_number 1
_cell_length_a 5.0674
_cell_length_b 5.0674
_cell_length_c 4.0394
_cell_angle_alpha 90.00
_cell_angle_beta 90.00
_cell_angle_gamma 90.00
loop_
_space_group_symop_operation_xyz
'x,y,z'
loop_
_atom_site_label
_atom_site_type_symbol
_atom_site_fract_x
_atom_site_fract_y
_atom_site_fract_z
Sc1 Sc 0.0000 0.0000 0.0000
Tl1 Tl 0.5000 0.5000 0.0000
Sb1 Sb 0.0000 0.5000 0.5000
Sb2 Sb 0.5000 0.0000 0.5000